Entry 1:
BaZnBr (PBE, optimized geometry); SG = Amm2 (38); DOS at the Fermi energy = 1.9 states/eV/cell; final energy = -2.418 eV/atom; distance to the lowest polymorph of the same formula = 294 meV/atom
1.0
4.998 0.000 0.000
-2.499 4.329 0.000
0.000 0.000 12.403
Zn Br Ba
2 2 2
Cartesian
0.000 2.390 6.202
2.499 1.000 0.000
0.000 2.400 9.804
0.000 2.400 2.600
2.499 0.955 4.088
2.499 0.955 8.316

=====

Entry 2:
Rb2YCrRe (PBE, optimized geometry); SG = P4/mmm (123); DOS at the Fermi energy = 4.9 states/eV/cell; energy of formation from the pure elements = 1890 meV per atom; final energy = -4.204 eV/atom
1.0
7.119 0.000 0.000
0.000 4.988 0.000
0.000 0.000 7.119
Rb Re Y Cr
2 1 1 1
Cartesian
3.560 0.000 0.000
0.000 0.000 3.560
0.000 2.494 0.000
0.000 0.000 0.000
3.560 2.494 3.560

=====

Entry 3:
CeTh4In5 (PBE, optimized geometry); SG = P4/mmm (123); DOS at the Fermi energy = 15.1 states/eV/cell; energy of formation from the pure elements = -303 meV per atom; final energy = -5.233 eV/atom
1.0
-0.361 2.396 -2.535
-3.234 0.725 1.146
8.636 16.228 14.107
Th Ce In
4 1 5
Cartesian
3.450 6.484 5.636
6.916 12.997 11.298
1.720 3.232 2.809
5.185 9.744 8.471
0.000 0.000 0.000
2.520 9.674 6.359
4.253 12.931 9.190
-0.948 3.156 0.693
0.787 6.418 3.528
5.989 16.192 12.025

=====

Entry 4:
CaTb3Er2Te6 (PBE, optimized geometry); SG = C2/m (12); DOS at the Fermi energy = 5.7 states/eV/cell; final energy = -4.984 eV/atom
1.0
4.363 0.000 0.000
0.000 8.767 0.279
-2.181 -2.566 9.189
Te Tb Er Ca
6 3 2 1
Cartesian
0.000 6.320 6.356
2.181 -0.119 3.112
0.000 2.190 0.133
2.181 4.011 9.335
0.000 1.984 6.255
2.181 4.217 3.213
2.181 -0.169 6.212
2.181 4.384 0.139
0.000 6.370 3.256
2.181 4.094 6.246
0.000 2.107 3.222
2.181 0.000 0.000

=====

Entry 5:
EuDyAu2 (PBE, optimized geometry); SG = Fm-3m (225); DOS at the Fermi energy = 8.8 states/eV/cell; energy of formation from the pure elements = -782 meV per atom; final energy = -6.140 eV/atom; distance to the lowest polymorph of the same formula = 43 meV/atom
1.0
5.173 0.000 0.000
2.587 4.480 0.000
2.587 1.493 4.224
Dy Au Eu
1 2 1
Cartesian
5.173 2.987 2.112
7.760 4.480 3.168
2.587 1.493 1.056
0.000 0.000 0.000

=====

Entry 6:
Tb2Nd5In2 (PBE, optimized geometry); SG = Ima2 (46); DOS at the Fermi energy = 22.2 states/eV/cell; energy of formation from the pure elements = -67 meV per atom; final energy = -4.353 eV/atom
1.0
10.738 0.000 0.000
0.000 6.642 0.000
-5.369 -3.321 8.120
In Nd Tb
4 10 4
Cartesian
0.300 3.002 6.709
0.300 3.002 1.411
5.069 -0.319 6.709
5.069 -0.319 1.411
8.129 4.597 0.932
-2.609 -2.046 7.188
2.074 -1.102 5.676
-2.760 1.276 7.188
7.978 1.276 0.932
2.074 5.540 2.444
6.631 1.284 4.060
3.295 2.219 2.444
-1.262 4.605 4.060
3.295 2.219 5.676
5.548 4.578 4.060
5.369 3.303 0.000
-0.179 1.257 4.060
0.000 6.624 0.000